Density functional theory data (PBE) for a relaxed structure of CrIrBr.

Calculated values
N(E_F)	0.8354	states/eV/atom
offset from the most stable computed form	41.7	kJ per mole of atoms
space group	F-43m, No. 216
energy relative to the elements, uncorrected	0.83	eV per atom

abc: 4.1849 4.1849 4.1849
angles: 60.00 60.00 60.00
Element x y z (fractional)
Br  0.5000  0.5000  0.5000
Ir  0.0000  0.0000  0.0000
Cr  0.7500  0.7500  0.7500